one.
# GGA-PBE Tb7Y2Sc2, optimized geometry
# Fermi-level density of states = 14.01 states/eV/cell
# volume = 349.1 Å³/cell
data_Tb7Y2Sc2
_cell_length_a 10.565
_cell_length_b 10.565
_cell_length_c 10.565
_cell_angle_alpha 160.40
_cell_angle_beta 66.27
_cell_angle_gamma 117.41
_symmetry_space_group_name_H-M 'P 1'
_symmetry_Int_Tables_number 1
_symmetry_space_group_name_Hall 'P 1'
loop_
_atom_site_label
_atom_site_fract_x
_atom_site_fract_y
_atom_site_fract_z
Tb1 0.000 0.000 0.000
Tb2 0.046 0.737 0.309
Tb3 0.342 0.497 0.846
Tb4 0.428 0.737 0.691
Tb5 0.641 0.279 0.362
Tb6 0.651 0.497 0.154
Tb7 0.917 0.279 0.638
Y1 0.351 0.851 0.500
Y2 0.653 0.653 0.000
Sc1 0.188 0.996 0.192
Sc2 0.804 0.996 0.808


two.
# GGA-PBE Tb7Y2Sc2, optimized geometry
# Fermi-level density of states = 16.41 states/eV/cell
# volume = 347.0 Å³/cell
data_Tb7Y2Sc2
_cell_length_a 3.574
_cell_length_b 9.850
_cell_length_c 10.900
_cell_angle_alpha 108.81
_cell_angle_beta 99.39
_cell_angle_gamma 100.41
_symmetry_space_group_name_H-M 'P 1'
_symmetry_Int_Tables_number 1
_symmetry_space_group_name_Hall 'P 1'
loop_
_atom_site_label
_atom_site_fract_x
_atom_site_fract_y
_atom_site_fract_z
Tb1 0.000 0.000 0.000
Tb2 0.022 0.674 0.370
Tb3 0.207 0.036 0.378
Tb4 0.260 0.425 0.097
Tb5 0.740 0.575 0.903
Tb6 0.793 0.964 0.622
Tb7 0.978 0.326 0.630
Y1 0.220 0.723 0.715
Y2 0.780 0.277 0.285
Sc1 0.471 0.789 0.152
Sc2 0.529 0.211 0.848


two takes first place; second place is 46 meV/atom up.